## RbNiPAu (PBE)

Data for a relaxed RbNiPAu crystal. Values from VASP.

```
&SYSTEM
  ibrav = 0, nat = 8, ntyp = 4
/
ATOMIC_SPECIES
Rb 85.47 Rb.upf
Ni 58.69 Ni.upf
P 30.97 P.upf
Au 196.97 Au.upf
CELL_PARAMETERS angstrom
3.923 0.000 0.000
0.000 3.923 0.000
0.000 0.000 12.354
ATOMIC_POSITIONS angstrom
Rb 0.981 0.981 3.002
Rb 2.942 2.942 9.352
Ni 0.981 2.942 6.177
Ni 2.942 0.981 6.177
P 0.981 0.981 7.244
P 2.942 2.942 5.110
Au 0.981 2.942 0.000
Au 2.942 0.981 0.000
```

spin magnetization: 0.000 μB/atom
space-group type: P4/nmm, No. 129
energy of formation from the pure elements: -0.38 eV/atom

## NiPRhAu2 (PBE)

Data for a relaxed NiPRhAu2 crystal. Values from VASP.

```
&SYSTEM
  ibrav = 0, nat = 5, ntyp = 4
/
ATOMIC_SPECIES
Ni 58.69 Ni.upf
P 30.97 P.upf
Rh 102.91 Rh.upf
Au 196.97 Au.upf
CELL_PARAMETERS angstrom
4.717 0.000 0.000
0.000 4.717 0.000
0.000 0.000 4.430
ATOMIC_POSITIONS angstrom
Ni 0.000 0.000 0.000
P 2.359 2.359 2.215
Rh 0.000 0.000 2.215
Au 0.000 2.359 0.000
Au 2.359 0.000 0.000
```

spin magnetization: 0.245 μB/atom
space-group type: P4/mmm, No. 123
energy of formation from the pure elements: 1.09 eV/atom

## NiP2AuS (PBE)

Data for a relaxed NiP2AuS crystal. Values from VASP.

```
&SYSTEM
  ibrav = 0, nat = 5, ntyp = 4
/
ATOMIC_SPECIES
Ni 58.69 Ni.upf
P 30.97 P.upf
Au 196.97 Au.upf
S 32.06 S.upf
CELL_PARAMETERS angstrom
4.473 0.000 0.000
0.000 4.473 0.000
0.000 0.000 4.697
ATOMIC_POSITIONS angstrom
Ni 0.000 0.000 0.000
P 0.000 2.236 2.349
P 2.236 0.000 2.349
Au 2.236 2.236 0.000
S 2.236 2.236 2.349
```

ΔE_f (raw): 1167 meV per atom
spin magnetization: 0.096 μB/atom
relative energy among the computed polymorphs: 0.5134 eV per atom
space-group type: P4/mmm, No. 123

## NiPAuS2 (PBE)

Data for a relaxed NiPAuS2 crystal. Values from VASP.

```
&SYSTEM
  ibrav = 0, nat = 5, ntyp = 4
/
ATOMIC_SPECIES
Ni 58.69 Ni.upf
P 30.97 P.upf
Au 196.97 Au.upf
S 32.06 S.upf
CELL_PARAMETERS angstrom
4.611 0.000 0.000
0.000 4.611 0.000
0.000 0.000 4.208
ATOMIC_POSITIONS angstrom
Ni 0.000 0.000 0.000
P 0.000 0.000 2.104
Au 2.306 2.306 2.104
S 0.000 2.306 0.000
S 2.306 0.000 0.000
```

ΔE_f (raw): 651 meV per atom
spin magnetization: 0.000 μB/atom
relative energy among the computed polymorphs: 0.0000 eV per atom
space-group type: P4/mmm, No. 123

## NiPAuS2 (PBE)

Data for a relaxed NiPAuS2 crystal. Values from VASP.

```
&SYSTEM
  ibrav = 0, nat = 5, ntyp = 4
/
ATOMIC_SPECIES
Ni 58.69 Ni.upf
P 30.97 P.upf
Au 196.97 Au.upf
S 32.06 S.upf
CELL_PARAMETERS angstrom
4.946 0.000 0.000
0.000 4.946 0.000
0.000 0.000 4.607
ATOMIC_POSITIONS angstrom
Ni 0.000 0.000 0.000
P 2.473 2.473 0.000
Au 2.473 2.473 2.304
S 0.000 2.473 2.304
S 2.473 0.000 2.304
```

ΔE_f (raw): 1294 meV per atom
spin magnetization: 0.287 μB/atom
relative energy among the computed polymorphs: 0.6435 eV per atom
space-group type: P4/mmm, No. 123

## NiPAuS2 (PBE)

Data for a relaxed NiPAuS2 crystal. Values from VASP.

```
&SYSTEM
  ibrav = 0, nat = 5, ntyp = 4
/
ATOMIC_SPECIES
Ni 58.69 Ni.upf
P 30.97 P.upf
Au 196.97 Au.upf
S 32.06 S.upf
CELL_PARAMETERS angstrom
4.606 0.000 0.000
0.000 4.606 0.000
0.000 0.000 4.238
ATOMIC_POSITIONS angstrom
Ni 0.000 0.000 0.000
P 0.000 0.000 2.119
Au 2.303 2.303 0.000
S 0.000 2.303 2.119
S 2.303 0.000 2.119
```

ΔE_f (raw): 656 meV per atom
spin magnetization: 0.000 μB/atom
relative energy among the computed polymorphs: 0.0051 eV per atom
space-group type: P4/mmm, No. 123

## NiP2AuS (PBE)

Data for a relaxed NiP2AuS crystal. Values from VASP.

```
&SYSTEM
  ibrav = 0, nat = 5, ntyp = 4
/
ATOMIC_SPECIES
Ni 58.69 Ni.upf
P 30.97 P.upf
Au 196.97 Au.upf
S 32.06 S.upf
CELL_PARAMETERS angstrom
4.343 0.000 0.000
0.000 4.343 0.000
0.000 0.000 4.641
ATOMIC_POSITIONS angstrom
Ni 0.000 0.000 0.000
P 0.000 2.172 0.000
P 2.172 0.000 0.000
Au 2.172 2.172 2.321
S 0.000 0.000 2.321
```

ΔE_f (raw): 653 meV per atom
spin magnetization: 0.000 μB/atom
relative energy among the computed polymorphs: 0.0000 eV per atom
space-group type: P4/mmm, No. 123

## SrNiPAu (PBE)

Data for a relaxed SrNiPAu crystal. Values from VASP.

```
&SYSTEM
  ibrav = 0, nat = 8, ntyp = 4
/
ATOMIC_SPECIES
Sr 87.62 Sr.upf
Ni 58.69 Ni.upf
P 30.97 P.upf
Au 196.97 Au.upf
CELL_PARAMETERS angstrom
3.910 0.000 0.000
0.000 3.910 0.000
0.000 0.000 10.725
ATOMIC_POSITIONS angstrom
Sr 0.977 0.977 2.667
Sr 2.932 2.932 8.058
Ni 0.977 2.932 0.000
Ni 2.932 0.977 0.000
P 0.977 0.977 9.562
P 2.932 2.932 1.163
Au 0.977 2.932 5.363
Au 2.932 0.977 5.363
```

spin magnetization: 0.000 μB/atom
space-group type: P4/nmm, No. 129
energy of formation from the pure elements: -0.73 eV/atom

## Sr2NiPAu (PBE)

Data for a relaxed Sr2NiPAu crystal. Values from VASP.

```
&SYSTEM
  ibrav = 0, nat = 5, ntyp = 4
/
ATOMIC_SPECIES
Sr 87.62 Sr.upf
Ni 58.69 Ni.upf
P 30.97 P.upf
Au 196.97 Au.upf
CELL_PARAMETERS angstrom
5.831 0.000 0.000
0.000 5.831 0.000
0.000 0.000 4.143
ATOMIC_POSITIONS angstrom
Sr 0.000 2.915 0.000
Sr 2.915 0.000 0.000
Ni 0.000 0.000 2.071
P 0.000 0.000 0.000
Au 2.915 2.915 2.071
```

spin magnetization: 0.000 μB/atom
space-group type: P4/mmm, No. 123
energy of formation from the pure elements: -0.60 eV/atom

## Tb2Ni12P3Au (PBE)

Data for a relaxed Tb2Ni12P3Au crystal. Values from VASP.

```
&SYSTEM
  ibrav = 0, nat = 18, ntyp = 4
/
ATOMIC_SPECIES
Tb 158.93 Tb.upf
Ni 58.69 Ni.upf
P 30.97 P.upf
Au 196.97 Au.upf
CELL_PARAMETERS angstrom
3.810 2.199 5.618
-3.810 2.199 5.618
0.000 -4.399 5.618
ATOMIC_POSITIONS angstrom
Tb 0.000 0.000 1.739
Tb 0.000 0.000 15.115
Ni -2.042 -1.179 7.734
Ni 0.000 -1.962 5.175
Ni -1.699 0.981 5.175
Ni 0.000 -2.357 9.120
Ni -2.042 1.179 9.120
Ni -1.699 -0.981 11.679
Ni 1.699 0.981 5.175
Ni 2.042 -1.179 7.734
Ni 0.000 2.357 7.734
Ni 1.699 -0.981 11.679
Ni 0.000 1.962 11.679
Ni 2.042 1.179 9.120
P -1.905 -1.100 5.618
P -1.905 1.100 11.236
P 0.000 2.199 5.618
Au 0.000 0.000 8.427
```

spin magnetization: 0.000 μB/atom
space-group type: R-3m, No. 166
energy of formation from the pure elements: -0.01 eV/atom

## Th2Ni12P3Au (PBE)

Data for a relaxed Th2Ni12P3Au crystal. Values from VASP.

```
&SYSTEM
  ibrav = 0, nat = 18, ntyp = 4
/
ATOMIC_SPECIES
Th 232.04 Th.upf
Ni 58.69 Ni.upf
P 30.97 P.upf
Au 196.97 Au.upf
CELL_PARAMETERS angstrom
3.790 2.188 5.747
-3.790 2.188 5.747
0.000 -4.377 5.747
ATOMIC_POSITIONS angstrom
Th 0.000 0.000 1.927
Th 0.000 0.000 15.313
Ni -2.024 -1.169 7.891
Ni 0.000 -1.986 5.296
Ni -1.720 0.993 5.296
Ni 0.000 -2.337 9.349
Ni -2.024 1.169 9.349
Ni -1.720 -0.993 11.944
Ni 1.720 0.993 5.296
Ni 2.024 -1.169 7.891
Ni 0.000 2.337 7.891
Ni 1.720 -0.993 11.944
Ni 0.000 1.986 11.944
Ni 2.024 1.169 9.349
P -1.895 -1.094 5.747
P -1.895 1.094 11.493
P 0.000 2.188 5.747
Au 0.000 0.000 8.620
```

spin magnetization: 0.000 μB/atom
space-group type: R-3m, No. 166
energy of formation from the pure elements: -0.08 eV/atom

## Tm2Ni12P3Au (PBE)

Data for a relaxed Tm2Ni12P3Au crystal. Values from VASP.

```
&SYSTEM
  ibrav = 0, nat = 18, ntyp = 4
/
ATOMIC_SPECIES
Tm 168.93 Tm.upf
Ni 58.69 Ni.upf
P 30.97 P.upf
Au 196.97 Au.upf
CELL_PARAMETERS angstrom
4.264 2.462 3.878
-4.264 2.462 3.878
0.000 -4.924 3.878
ATOMIC_POSITIONS angstrom
Tm 0.000 0.000 2.365
Tm 0.000 0.000 9.269
Ni 0.000 -2.563 3.242
Ni -2.220 1.282 3.242
Ni -2.167 -1.251 6.037
Ni 0.000 -2.502 5.597
Ni -2.167 1.251 5.597
Ni -2.220 -1.282 8.391
Ni 2.220 1.282 3.242
Ni 2.167 -1.251 6.037
Ni 0.000 2.502 6.037
Ni 2.167 1.251 5.597
Ni 2.220 -1.282 8.391
Ni 0.000 2.563 8.391
P -2.132 -1.231 3.878
P -2.132 1.231 7.756
P 0.000 2.462 3.878
Au 0.000 0.000 5.817
```

spin magnetization: 0.000 μB/atom
space-group type: R-3m, No. 166
energy of formation from the pure elements: -0.12 eV/atom

Q: Number 3 is which compound?
A: NiP2AuS